# 1
VASP calculation (PBE) on a geometry-optimized Y4AgAu3 structure.

The structure in POSCAR format:
```
Y4AgAu3
1.0
3.595 0.000 0.000
0.000 5.123 0.000
0.000 0.000 10.256
Y Ag Au
4 1 3
direct
0.000 0.000 0.000
0.000 0.000 0.500
0.000 0.500 0.246
0.000 0.500 0.754
0.500 0.500 0.500
0.500 0.000 0.255
0.500 0.000 0.745
0.500 0.500 0.000
```

## Properties
formation energy from the elements: -0.73 eV per atom
polymorph energy (0 for the lowest one): 0.0041 eV per atom
DOS(E_F): 0.49 states/eV/atom

***

# 2
VASP calculation (PBE) on a geometry-optimized TbCeEuTm structure.

The structure in POSCAR format:
```
TbCeEuTm
1.0
0.000 4.058 4.058
4.058 0.000 4.058
4.058 4.058 0.000
Tb Ce Eu Tm
1 1 1 1
direct
0.000 0.000 0.000
0.750 0.750 0.750
0.250 0.250 0.250
0.500 0.500 0.500
```

## Properties
formation energy from the elements: 0.23 eV per atom
DOS(E_F): 2.51 states/eV/atom